First-principles (PBE-GGA) data for a relaxed ZrZn4Pd crystal, as listed in the Alexandria database.

Cell: 4.337 4.337 5.852 Å, 90.00 90.00 120.00°
Sites, in units of the cell vectors:
Zr (0.000, 0.000, 0.000)
Zn (0.333, 0.667, 0.265)
Zn (0.333, 0.667, 0.735)
Zn (0.667, 0.333, 0.265)
Zn (0.667, 0.333, 0.735)
Pd (0.000, 0.000, 0.500)

Values from the calculation:
As for the energy relative to the lowest polymorph listed for this composition: 0 meV/atom. The space group is P6/mmm, No. 191.


First-principles (PBE-GGA) data for a relaxed Li4IrSe crystal, as listed in the Alexandria database.

Cell: 4.823 4.823 4.823 Å, 60.00 60.00 60.00°
Sites, in units of the cell vectors:
Li (0.378, 0.378, 0.378)
Li (0.378, 0.378, 0.866)
Li (0.378, 0.866, 0.378)
Li (0.866, 0.378, 0.378)
Ir (0.750, 0.750, 0.750)
Se (0.000, 0.000, 0.000)

Values from the calculation:
As for the total energy: -3.39 eV per atom. The space group is F-43m, No. 216.


First-principles (PBE-GGA) data for a relaxed Li3HfCd crystal, as listed in the Alexandria database.

Cell: 4.690 4.690 4.690 Å, 90.00 90.00 90.00°
Sites, in units of the cell vectors:
Li (0.000, 0.000, 0.500)
Li (0.000, 0.500, 0.000)
Li (0.500, 0.000, 0.000)
Hf (0.500, 0.500, 0.500)
Cd (0.000, 0.000, 0.000)

Values from the calculation:
As for the energy relative to the lowest polymorph listed for this composition: 0 meV/atom. The space group is Pm-3m, No. 221.